# 1
Computed, not measured: a relaxed NbMo2Ru2 crystal at the PBE-GGA level of DFT.

Summary:
Fermi-level density of states, states/eV per cell: 8.31
SG: No. 127
Offset from the most stable computed form, meV per atom: 0
Total magnetization, μB per atom: 0.0000

a b c (Å): 7.482 7.482 2.858
angles (deg): 90.00 90.00 90.00
Atoms (fractional coordinates):
Nb 0.000 0.000 0.000
Nb 0.500 0.500 0.000
Mo 0.168 0.332 0.500
Mo 0.332 0.832 0.500
Mo 0.668 0.168 0.500
Mo 0.832 0.668 0.500
Ru 0.131 0.631 0.000
Ru 0.369 0.131 0.000
Ru 0.631 0.869 0.000
Ru 0.869 0.369 0.000

# 2
Computed, not measured: a relaxed NbMo2Ru crystal at the PBE-GGA level of DFT.

Summary:
Fermi-level density of states, states/eV per cell: 3.94
SG: No. 123
Offset from the most stable computed form, meV per atom: 37
Total magnetization, μB per atom: 0.0000

a b c (Å): 3.750 3.750 4.607
angles (deg): 90.00 90.00 90.00
Atoms (fractional coordinates):
Nb 0.000 0.000 0.000
Mo 0.000 0.500 0.500
Mo 0.500 0.000 0.500
Ru 0.500 0.500 0.000

# 3
Computed, not measured: a relaxed Nb4Mo3Ru crystal at the PBE-GGA level of DFT.

Summary:
Fermi-level density of states, states/eV per cell: 4.40
Energy, eV/atom: -10.46
SG: No. 47
Total magnetization, μB per atom: 0.0000

a b c (Å): 3.210 4.564 9.113
angles (deg): 90.00 90.00 90.00
Atoms (fractional coordinates):
Nb 0.000 0.000 0.000
Nb 0.000 0.000 0.500
Nb 0.000 0.500 0.249
Nb 0.000 0.500 0.751
Mo 0.500 0.000 0.246
Mo 0.500 0.000 0.754
Mo 0.500 0.500 0.500
Ru 0.500 0.500 0.000

# 4
Computed, not measured: a relaxed Nb6Mo5Ru crystal at the PBE-GGA level of DFT.

Summary:
Fermi-level density of states, states/eV per cell: 7.59
Energy, eV/atom: -10.51
SG: No. 71
Total magnetization, μB per atom: 0.0000

a b c (Å): 7.904 7.904 7.904
angles (deg): 146.46 131.91 59.90
Atoms (fractional coordinates):
Nb 0.083 0.334 0.750
Nb 0.249 0.000 0.249
Nb 0.416 0.666 0.750
Nb 0.584 0.334 0.250
Nb 0.751 0.000 0.751
Nb 0.917 0.666 0.250
Mo 0.000 0.500 0.500
Mo 0.167 0.167 0.000
Mo 0.335 0.835 0.500
Mo 0.665 0.165 0.500
Mo 0.833 0.833 0.000
Ru 0.500 0.500 0.000

# 5
Computed, not measured: a relaxed Nb14MoRu crystal at the PBE-GGA level of DFT.

Summary:
Fermi-level density of states, states/eV per cell: 23.31
Energy, eV/atom: -10.16
SG: No. 65
Total magnetization, μB per atom: 0.0000

a b c (Å): 5.708 5.708 9.271
angles (deg): 90.00 90.00 109.94
Atoms (fractional coordinates):
Nb 0.000 0.000 0.000
Nb 0.000 0.500 0.000
Nb 0.000 0.500 0.500
Nb 0.249 0.249 0.260
Nb 0.249 0.249 0.740
Nb 0.250 0.750 0.251
Nb 0.250 0.750 0.749
Nb 0.500 0.000 0.000
Nb 0.500 0.000 0.500
Nb 0.500 0.500 0.000
Nb 0.750 0.250 0.251
Nb 0.750 0.250 0.749
Nb 0.751 0.751 0.260
Nb 0.751 0.751 0.740
Mo 0.000 0.000 0.500
Ru 0.500 0.500 0.500

# 6
Computed, not measured: a relaxed Nb4MoRu crystal at the PBE-GGA level of DFT.

Summary:
Fermi-level density of states, states/eV per cell: 3.27
SG: No. 123
Offset from the most stable computed form, meV per atom: 0
Total magnetization, μB per atom: 0.0000

a b c (Å): 3.233 3.233 9.794
angles (deg): 90.00 90.00 90.00
Atoms (fractional coordinates):
Nb 0.000 0.000 0.161
Nb 0.000 0.000 0.839
Nb 0.500 0.500 0.337
Nb 0.500 0.500 0.663
Mo 0.000 0.000 0.500
Ru 0.500 0.500 0.000

# 7
Computed, not measured: a relaxed Nb4MoRu3 crystal at the PBE-GGA level of DFT.

Summary:
Fermi-level density of states, states/eV per cell: 6.79
Energy, eV/atom: -10.09
SG: No. 47
Total magnetization, μB per atom: 0.0000

a b c (Å): 3.258 4.474 8.943
angles (deg): 90.00 90.00 90.00
Atoms (fractional coordinates):
Nb 0.000 0.000 0.000
Nb 0.000 0.000 0.500
Nb 0.000 0.500 0.246
Nb 0.000 0.500 0.754
Mo 0.500 0.500 0.000
Ru 0.500 0.000 0.258
Ru 0.500 0.000 0.742
Ru 0.500 0.500 0.500

# 8
Computed, not measured: a relaxed NbMo2Ru crystal at the PBE-GGA level of DFT.

Summary:
Fermi-level density of states, states/eV per cell: 7.06
SG: No. 122
Offset from the most stable computed form, meV per atom: 516
Total magnetization, μB per atom: 0.0000

a b c (Å): 5.767 5.767 5.767
angles (deg): 101.68 101.68 126.52
Atoms (fractional coordinates):
Nb 0.000 0.000 0.000
Nb 0.750 0.250 0.500
Mo 0.145 0.125 0.520
Mo 0.375 0.855 0.980
Mo 0.605 0.625 0.480
Mo 0.875 0.395 0.020
Ru 0.250 0.750 0.500
Ru 0.500 0.500 0.000

# 9
Computed, not measured: a relaxed Nb4Mo3Ru2 crystal at the PBE-GGA level of DFT.

Summary:
Fermi-level density of states, states/eV per cell: 4.36
Energy, eV/atom: -10.31
SG: No. 164
Total magnetization, μB per atom: 0.0000

a b c (Å): 4.516 4.516 8.367
angles (deg): 90.00 90.00 120.00
Atoms (fractional coordinates):
Nb 0.000 0.000 0.170
Nb 0.000 0.000 0.830
Nb 0.333 0.667 0.391
Nb 0.667 0.333 0.609
Mo 0.000 0.000 0.500
Mo 0.333 0.667 0.052
Mo 0.667 0.333 0.948
Ru 0.333 0.667 0.722
Ru 0.667 0.333 0.278

# 10
Computed, not measured: a relaxed NbMo3Ru crystal at the PBE-GGA level of DFT.

Summary:
Fermi-level density of states, states/eV per cell: 4.46
SG: No. 221
Offset from the most stable computed form, meV per atom: 0
Total magnetization, μB per atom: 0.0000

a b c (Å): 4.641 4.641 4.641
angles (deg): 90.00 90.00 90.00
Atoms (fractional coordinates):
Nb 0.000 0.000 0.000
Mo 0.000 0.500 0.500
Mo 0.500 0.000 0.500
Mo 0.500 0.500 0.000
Ru 0.500 0.500 0.500

# 11
Computed, not measured: a relaxed NbMo3Ru crystal at the PBE-GGA level of DFT.

Summary:
Fermi-level density of states, states/eV per cell: 5.01
SG: No. 221
Offset from the most stable computed form, meV per atom: 576
Total magnetization, μB per atom: 0.1760

a b c (Å): 4.670 4.670 4.670
angles (deg): 90.00 90.00 90.00
Atoms (fractional coordinates):
Nb 0.000 0.000 0.000
Mo 0.000 0.000 0.500
Mo 0.000 0.500 0.000
Mo 0.500 0.000 0.000
Ru 0.500 0.500 0.500

# 12
Computed, not measured: a relaxed NbSb2MoRu crystal at the PBE-GGA level of DFT.

Summary:
Fermi-level density of states, states/eV per cell: 7.38
SG: No. 123
Energy relative to the elements, uncorrected, eV per atom: 1.611
Total magnetization, μB per atom: 0.4819

a b c (Å): 5.265 5.265 4.675
angles (deg): 90.00 90.00 90.00
Atoms (fractional coordinates):
Nb 0.000 0.000 0.000
Sb 0.000 0.500 0.000
Sb 0.500 0.000 0.000
Mo 0.000 0.000 0.500
Ru 0.500 0.500 0.500